The following is a DFT calculation (PBE) of Ti2AgHAu after structural relaxation.

Properties
- energy (eV/f.u.) = -26.2
- total moment (μB/cell) = 0.000
- N(E_F) (states/eV/f.u.) = 4.47
- symmetry = No. 123

Lattice parameters (Å, degrees): 4.036 4.036 4.276 90.00 90.00 90.00
Fractional positions:
Ti 0.000 0.500 0.000
Ti 0.500 0.000 0.000
Ag 0.000 0.000 0.500
H 0.000 0.000 0.000
Au 0.500 0.500 0.500